[1]
Below is a relaxed Sc2Nb2Pt crystal, with properties calculated at the PBE level.

Lattice parameters (Å, degrees): 8.6714 8.6714 8.6714 156.05 156.05 34.13
Fractional positions:
Sc (0.0901, 0.0901, 0.0000)
Sc (0.9099, 0.9099, 0.0000)
Nb (0.2500, 0.7500, 0.5000)
Nb (0.7500, 0.2500, 0.5000)
Pt (0.5000, 0.5000, 0.0000)

Computed properties:
Polymorph energy (0 for the lowest one) ... 0.010 eV/atom
Symmetry ... I4/mmm, No. 139
Final energy ... -7.71 eV/atom
Calculated volume ... 107.4 Å³/cell

=====

[2]
Below is a relaxed ScNbTc2Pt crystal, with properties calculated at the PBE level.

Lattice parameters (Å, degrees): 4.6786 4.6786 4.9087 90.00 90.00 90.00
Fractional positions:
Sc (0.0000, 0.0000, 0.0000)
Nb (0.5000, 0.5000, 0.5000)
Tc (0.0000, 0.5000, 0.5000)
Tc (0.5000, 0.0000, 0.5000)
Pt (0.5000, 0.5000, 0.0000)

Computed properties:
Symmetry ... P4/mmm, No. 123
Final energy ... -7.74 eV/atom
Calculated volume ... 107.4 Å³/cell

=====

[3]
Below is a relaxed NbPtSe crystal, with properties calculated at the PBE level.

Lattice parameters (Å, degrees): 4.2913 5.5093 7.3468 90.91 106.66 112.90
Fractional positions:
Nb (0.0918, 0.2549, 0.4269)
Nb (0.9082, 0.7451, 0.5731)
Pt (0.3116, 0.7454, 0.3760)
Pt (0.6884, 0.2546, 0.6240)
Se (0.2422, 0.1635, 0.8266)
Se (0.7578, 0.8365, 0.1734)

Computed properties:
Uncorrected formation energy ... -0.37 eV per atom
Symmetry ... P-1, No. 2
Final energy ... -6.90 eV/atom
Calculated volume ... 151.7 Å³/cell